VASP calculation (PBE-GGA) on crystalline NpCrAs2Ru at its relaxed geometry.

a = 6.239 Å, b = 6.239 Å, c = 6.239 Å
α = 142.60°, β = 142.60°, γ = 53.93°
Sites, in units of the cell vectors:
Np: 0.000 0.000 0.000
Cr: 0.250 0.750 0.500
As: 0.378 0.378 0.000
As: 0.622 0.622 0.000
Ru: 0.750 0.250 0.500

Computed properties:
The value obtained for the formation energy is -30.0 kJ per mole of atoms.